The following is a meta-GGA SCAN calculation of a PBEsol-optimized structure of CaAlNi2, from Alexandria via LeMat-Bulk. Values from VASP.

Geometry as Quantum ESPRESSO input:
```
&SYSTEM
  ibrav = 0, nat = 4, ntyp = 3
/
ATOMIC_SPECIES
Ca 40.08 Ca.upf
Al 26.98 Al.upf
Ni 58.69 Ni.upf
ATOMIC_POSITIONS angstrom
Ca 1.5010 1.5010 0.0000
Al 1.5010 1.5010 3.3155
Ni 0.0000 0.0000 4.5979
Ni 0.0000 0.0000 2.0330
CELL_PARAMETERS angstrom
3.0021 0.0000 0.0000
0.0000 3.0021 0.0000
0.0000 0.0000 6.6309
```

- SG = P4/mmm
- DFT total energy (eV for the cell shown) = -50.9
- M_tot (μB/cell) = 0.000
- DOS(E_F) (states/eV per cell) = 2.3
- calculated formation energy (eV/atom) = -0.27